The following is a PBE calculation of a geometry-optimized ThS4 structure, from Alexandria.

Structure (POSCAR):
```
ThS4
1.0
-2.2895 -0.7890 -4.9153
4.9731 -0.6089 -2.2187
-0.2268 -5.3881 0.9706
S Th
4 1
Direct
0.0000 0.0000 0.0000
0.5000 0.0000 0.5000
0.0000 0.5000 0.5000
0.5000 0.5000 0.0000
0.5000 0.5000 0.5000
```

## Properties
space-group type: Pm-3m, No. 221
size of the total moment: 3.750 μB/cell
E_tot: -4.89 eV per atom
DOS(E_F): 4.5 states/eV/cell

---

The following is a PBE calculation of a geometry-optimized Th2S3 structure, from Alexandria.

Structure (POSCAR):
```
Th2S3
1.0
-3.5391 -1.0509 -1.4202
3.1401 -1.0897 -7.0188
2.9097 -14.6276 3.5729
Th S
8 12
Direct
0.7500 0.2488 0.5406
0.7500 0.7488 0.9594
0.2500 0.7512 0.4594
0.2500 0.2512 0.0406
0.7500 0.9196 0.2154
0.7500 0.4196 0.2846
0.2500 0.0804 0.7846
0.2500 0.5804 0.7154
0.7500 0.9915 0.4004
0.7500 0.4915 0.0996
0.2500 0.0085 0.5996
0.2500 0.5085 0.9004
0.7500 0.8170 0.7736
0.7500 0.3170 0.7264
0.2500 0.1830 0.2264
0.2500 0.6830 0.2736
0.7500 0.6190 0.5767
0.7500 0.1190 0.9233
0.2500 0.3810 0.4233
0.2500 0.8810 0.0767
```

## Properties
space-group type: Pnma, No. 62
size of the total moment: 0.000 μB/cell
E_tot: -7.40 eV per atom
DOS(E_F): 13.0 states/eV/cell

---

The following is a PBE calculation of a geometry-optimized ThTi4S8 structure, from Alexandria.

Structure (POSCAR):
```
ThTi4S8
1.0
-1.2675 -6.6535 -1.4051
2.7596 -2.9339 -5.6238
5.7717 -4.9392 1.1547
Th Ti S
1 4 8
Direct
0.5000 0.5000 0.5000
0.0000 0.5000 0.0000
0.5000 0.5000 0.0000
0.5000 0.0000 0.0000
0.0000 0.0000 0.0000
0.7502 0.2363 0.7772
0.7637 0.2498 0.2228
0.2498 0.7637 0.2228
0.7637 0.7637 0.2228
0.7373 0.7373 0.7881
0.2627 0.2627 0.2119
0.2363 0.2363 0.7772
0.2363 0.7502 0.7772
```

## Properties
space-group type: R-3m, No. 166
size of the total moment: 0.000 μB/cell
E_tot: -7.06 eV per atom
DOS(E_F): 9.6 states/eV/cell

---

The following is a PBE calculation of a geometry-optimized Th2TlS structure, from Alexandria.

Structure (POSCAR):
```
Th2TlS
1.0
3.9040 -0.0052 -0.0001
1.9475 3.3836 -0.0001
1.9502 1.1260 8.4988
Th Tl S
2 1 1
Direct
0.0673 0.0673 0.7987
0.2659 0.2659 0.2005
0.5006 0.5006 0.4999
0.6662 0.6662 0.0009
```

## Properties
space-group type: Cm, No. 8
size of the total moment: 0.000 μB/cell
energy relative to the lowest polymorph listed for this composition: 0.0409 eV/atom
E_tot: -6.20 eV per atom
DOS(E_F): 3.3 states/eV/cell

---

The following is a PBE calculation of a geometry-optimized ThTl3S4 structure, from Alexandria.

Structure (POSCAR):
```
ThTl3S4
1.0
7.1744 0.1303 0.0000
-2.3973 7.3431 0.0000
0.0000 0.0000 8.6219
Tl S Th
6 8 2
Direct
0.7500 0.0000 0.3824
0.2500 0.0000 0.6176
0.7500 0.5000 0.6209
0.7500 0.5000 0.1321
0.2500 0.5000 0.3791
0.2500 0.5000 0.8679
0.9784 0.2219 0.6386
0.4942 0.2077 0.8992
0.4784 0.2219 0.3614
0.9942 0.2077 0.1008
0.0058 0.7923 0.8992
0.5216 0.7781 0.6386
0.5058 0.7923 0.1008
0.0216 0.7781 0.3614
0.7500 0.0000 0.8701
0.2500 0.0000 0.1299
```

## Properties
space-group type: P2/c, No. 13
size of the total moment: 0.000 μB/cell
E_tot: -4.79 eV per atom
DOS(E_F): 6.9 states/eV/cell

---

The following is a PBE calculation of a geometry-optimized ThTl2S4 structure, from Alexandria.

Structure (POSCAR):
```
ThTl2S4
1.0
-8.5725 -0.3359 1.3660
-3.8919 -7.4211 1.3743
-3.1052 -2.0860 7.6233
Th Tl S
2 4 8
Direct
0.0000 0.5000 0.0000
0.5000 0.5000 0.0000
0.1072 0.1428 0.6428
0.5000 0.0000 0.0000
0.5000 0.5000 0.5000
0.8928 0.8572 0.3572
0.2480 0.2905 0.2135
0.2480 0.7135 0.7905
0.2806 0.2632 0.7632
0.6930 0.2632 0.7632
0.3070 0.7368 0.2368
0.7520 0.2865 0.2095
0.7194 0.7368 0.2368
0.7520 0.7095 0.7865
```

## Properties
space-group type: Imma, No. 74
size of the total moment: 0.000 μB/cell
E_tot: -4.95 eV per atom
DOS(E_F): 4.0 states/eV/cell

---

The following is a PBE calculation of a geometry-optimized Th2Tl2S7 structure, from Alexandria.

Structure (POSCAR):
```
Th2Tl2S7
1.0
4.0709 0.0000 0.0000
2.0354 8.7653 0.3070
2.0354 4.4263 7.5718
Th Tl S
2 2 7
Direct
0.0000 0.7811 0.2189
0.5000 0.3280 0.6720
0.7346 0.8556 0.6752
0.2654 0.3248 0.1444
0.8107 0.0742 0.3044
0.8789 0.3990 0.8431
0.5000 0.9987 0.0013
0.6008 0.5192 0.2792
0.3992 0.7208 0.4808
0.1893 0.6956 0.9258
0.1211 0.1569 0.6010
```

## Properties
space-group type: Imm2, No. 44
size of the total moment: 0.000 μB/cell
E_tot: -5.35 eV per atom
DOS(E_F): 2.9 states/eV/cell

---

The following is a PBE calculation of a geometry-optimized ThTlS3 structure, from Alexandria.

Structure (POSCAR):
```
ThTlS3
1.0
9.8613 0.0000 0.0000
4.9307 8.5402 0.0000
4.9307 2.8467 8.0517
Th Tl S
4 4 12
Direct
0.6250 0.1250 0.6250
0.6250 0.6250 0.6250
0.6250 0.6250 0.1250
0.1250 0.6250 0.6250
0.1250 0.6250 0.1250
0.1250 0.1250 0.1250
0.1250 0.1250 0.6250
0.6250 0.1250 0.1250
0.7153 0.2847 0.7153
0.2847 0.7153 0.2847
0.7153 0.2847 0.2847
0.2847 0.7153 0.7153
0.7153 0.7153 0.2847
0.2847 0.2847 0.7153
0.5347 0.9653 0.5347
0.9653 0.5347 0.9653
0.5347 0.9653 0.9653
0.9653 0.5347 0.5347
0.5347 0.5347 0.9653
0.9653 0.9653 0.5347
```

## Properties
space-group type: Fd-3m, No. 227
size of the total moment: 0.685 μB/cell
E_tot: -5.42 eV per atom
DOS(E_F): 25.5 states/eV/cell

---

The following is a PBE calculation of a geometry-optimized Th2TlS structure, from Alexandria.

Structure (POSCAR):
```
Th2TlS
1.0
-1.3418 0.9002 -3.6127
-0.0573 -2.7614 -2.8344
-8.1071 -2.8137 0.1422
Tl S Th
1 1 2
Direct
0.5000 0.5000 0.5000
0.0000 0.0000 0.0000
0.2667 0.2667 0.1998
0.7333 0.7333 0.8002
```

## Properties
space-group type: R-3m, No. 166
size of the total moment: 0.000 μB/cell
energy relative to the lowest polymorph listed for this composition: 0.0000 eV/atom
E_tot: -6.24 eV per atom
DOS(E_F): 2.1 states/eV/cell

---

The following is a PBE calculation of a geometry-optimized ThTl4S4 structure, from Alexandria.

Structure (POSCAR):
```
ThTl4S4
1.0
-3.0550 -0.8312 2.8138
-4.3488 -5.2491 -3.0841
3.0190 -8.0777 4.0795
Th Tl S
1 4 4
Direct
0.5000 0.0000 0.0000
0.7003 0.3726 0.2268
0.9121 0.7804 0.3954
0.2997 0.6274 0.7732
0.0879 0.2196 0.6046
0.3291 0.0544 0.2873
0.6709 0.9456 0.7127
0.9009 0.2610 0.9372
0.0991 0.7390 0.0628
```

## Properties
space-group type: C2/m, No. 12
size of the total moment: 0.000 μB/cell
E_tot: -4.65 eV per atom
DOS(E_F): 0.0 states/eV/cell

---

The following is a PBE calculation of a geometry-optimized ThTlS4 structure, from Alexandria.

Structure (POSCAR):
```
ThTlS4
1.0
-4.1763 4.1865 -0.6105
-3.2149 -4.9549 -0.6741
-1.5351 -0.2238 8.9666
Th Tl S
2 2 8
Direct
0.4207 0.4207 0.7500
0.5793 0.5793 0.2500
0.9415 0.9415 0.7500
0.0585 0.0585 0.2500
0.6390 0.0814 0.2500
0.3610 0.9186 0.7500
0.0814 0.6390 0.2500
0.9186 0.3610 0.7500
0.7022 0.7022 0.5449
0.2978 0.2978 0.0449
0.7022 0.7022 0.9551
0.2978 0.2978 0.4551
```

## Properties
space-group type: Cmcm, No. 63
size of the total moment: 0.000 μB/cell
E_tot: -5.13 eV per atom
DOS(E_F): 5.8 states/eV/cell

---

The following is a PBE calculation of a geometry-optimized ThTl5S5 structure, from Alexandria.

Structure (POSCAR):
```
ThTl5S5
1.0
-3.4887 3.5129 3.1530
-3.7892 -5.6547 -3.3559
3.6205 -3.1153 7.4769
Th Tl S
1 5 5
Direct
0.0000 0.0000 0.0000
0.6844 0.3689 0.3160
0.6707 0.3414 0.8315
0.0000 0.0000 0.5000
0.3293 0.6586 0.1685
0.3156 0.6311 0.6840
0.8465 0.6930 0.1380
0.8529 0.7058 0.6983
0.5000 0.0000 0.0000
0.1471 0.2942 0.3017
0.1535 0.3070 0.8620
```

## Properties
space-group type: C2/m, No. 12
size of the total moment: 0.000 μB/cell
E_tot: -4.33 eV per atom
DOS(E_F): 4.2 states/eV/cell